Entry 1:
# ZnFeBiS2 PBE-GGA optimized geometry
data_ZnFeBiS2
_cell_length_a 5.3497
_cell_length_b 5.3497
_cell_length_c 5.1142
_cell_angle_alpha 90.00
_cell_angle_beta 90.00
_cell_angle_gamma 90.00
_space_group_name_H-M_alt 'P 1'
_space_group_IT_number 1
loop_
_space_group_symop_operation_xyz
'x,y,z'
loop_
_atom_site_label
_atom_site_fract_x
_atom_site_fract_y
_atom_site_fract_z
_atom_site_occupancy
S1 0.0000 0.5000 0.0000 1
S2 0.5000 0.0000 0.0000 1
Zn1 0.5000 0.5000 0.5000 1
Bi1 0.0000 0.0000 0.0000 1
Fe1 0.0000 0.0000 0.5000 1
# Formation energy without anion corrections (eV per atom): 1.00
# Energy (eV/f.u.): -16.88
# DOS(E_F) (states/eV/cell): 9.2
# Crystal system: tetragonal

=====

Entry 2:
# Fe2BiSb4 PBE-GGA optimized geometry
data_Fe2BiSb4
_cell_length_a 5.6406
_cell_length_b 5.6406
_cell_length_c 7.8839
_cell_angle_alpha 69.04
_cell_angle_beta 69.04
_cell_angle_gamma 90.00
_space_group_name_H-M_alt 'P 1'
_space_group_IT_number 1
loop_
_space_group_symop_operation_xyz
'x,y,z'
loop_
_atom_site_label
_atom_site_fract_x
_atom_site_fract_y
_atom_site_fract_z
_atom_site_occupancy
Fe1 0.4189 0.4189 0.1623 1
Fe2 0.5811 0.5811 0.8377 1
Sb1 0.0000 0.5000 0.0000 1
Sb2 0.7637 0.7637 0.4726 1
Sb3 0.5000 0.0000 0.0000 1
Sb4 0.2363 0.2363 0.5274 1
Bi1 0.0000 0.0000 0.0000 1
# Formation energy without anion corrections (eV per atom): 0.85
# Energy (eV/f.u.): -31.32
# DOS(E_F) (states/eV/cell): 7.0
# Crystal system: tetragonal

=====

Entry 3:
# FeBiSb PBE-GGA optimized geometry
data_FeBiSb
_cell_length_a 3.4170
_cell_length_b 5.8584
_cell_length_c 6.6567
_cell_angle_alpha 90.00
_cell_angle_beta 90.00
_cell_angle_gamma 90.00
_space_group_name_H-M_alt 'P 1'
_space_group_IT_number 1
loop_
_space_group_symop_operation_xyz
'x,y,z'
loop_
_atom_site_label
_atom_site_fract_x
_atom_site_fract_y
_atom_site_fract_z
_atom_site_occupancy
Sb1 0.5000 0.9543 0.6495 1
Sb2 0.0000 0.0457 0.1495 1
Fe1 0.0000 0.2334 0.4982 1
Fe2 0.5000 0.7666 0.9982 1
Bi1 0.0000 0.4513 0.8542 1
Bi2 0.5000 0.5487 0.3542 1
# Formation energy without anion corrections (eV per atom): 0.13
# Energy (eV/f.u.): -16.09
# DOS(E_F) (states/eV/cell): 5.0
# Crystal system: orthorhombic

=====

Entry 4:
# FeBiSb2 PBE-GGA optimized geometry
data_FeBiSb2
_cell_length_a 6.3251
_cell_length_b 6.3251
_cell_length_c 7.8609
_cell_angle_alpha 66.28
_cell_angle_beta 66.28
_cell_angle_gamma 90.00
_space_group_name_H-M_alt 'P 1'
_space_group_IT_number 1
loop_
_space_group_symop_operation_xyz
'x,y,z'
loop_
_atom_site_label
_atom_site_fract_x
_atom_site_fract_y
_atom_site_fract_z
_atom_site_occupancy
Sb1 0.3750 0.4473 0.7500 1
Sb2 0.1973 0.6250 0.2500 1
Sb3 0.5527 0.1250 0.2500 1
Sb4 0.8750 0.8027 0.7500 1
Fe1 0.2500 0.7500 0.5000 1
Fe2 0.5000 0.5000 0.0000 1
Bi1 0.0000 0.0000 0.0000 1
Bi2 0.7500 0.2500 0.5000 1
# Formation energy without anion corrections (eV per atom): 0.33
# Energy (eV/f.u.): -19.26
# DOS(E_F) (states/eV/cell): 8.0
# Crystal system: tetragonal

=====

Entry 5:
# Fe4BiSb12 PBE-GGA optimized geometry
data_Fe4BiSb12
_cell_length_a 8.0054
_cell_length_b 8.0054
_cell_length_c 8.0054
_cell_angle_alpha 109.47
_cell_angle_beta 109.47
_cell_angle_gamma 109.47
_space_group_name_H-M_alt 'P 1'
_space_group_IT_number 1
loop_
_space_group_symop_operation_xyz
'x,y,z'
loop_
_atom_site_label
_atom_site_fract_x
_atom_site_fract_y
_atom_site_fract_z
_atom_site_occupancy
Sb1 0.6693 0.8297 0.1604 1
Sb2 0.1604 0.6693 0.8297 1
Sb3 0.4911 0.1604 0.3307 1
Sb4 0.1604 0.3307 0.4911 1
Sb5 0.1703 0.8396 0.3307 1
Sb6 0.6693 0.5089 0.8396 1
Sb7 0.8297 0.1604 0.6693 1
Sb8 0.3307 0.4911 0.1604 1
Sb9 0.5089 0.8396 0.6693 1
Sb10 0.3307 0.1703 0.8396 1
Sb11 0.8396 0.3307 0.1703 1
Sb12 0.8396 0.6693 0.5089 1
Fe1 0.5000 0.0000 0.0000 1
Fe2 0.0000 0.0000 0.5000 1
Fe3 0.0000 0.5000 0.0000 1
Fe4 0.5000 0.5000 0.5000 1
Bi1 0.0000 0.0000 0.0000 1
# Formation energy without anion corrections (eV per atom): 0.02
# Energy (eV/f.u.): -86.85
# DOS(E_F) (states/eV/cell): 14.9
# Crystal system: cubic

=====

Entry 6:
# FeBi3Sb PBE-GGA optimized geometry
data_FeBi3Sb
_cell_length_a 5.1791
_cell_length_b 5.1791
_cell_length_c 5.1791
_cell_angle_alpha 90.00
_cell_angle_beta 90.00
_cell_angle_gamma 90.00
_space_group_name_H-M_alt 'P 1'
_space_group_IT_number 1
loop_
_space_group_symop_operation_xyz
'x,y,z'
loop_
_atom_site_label
_atom_site_fract_x
_atom_site_fract_y
_atom_site_fract_z
_atom_site_occupancy
Sb1 0.5000 0.5000 0.5000 1
Bi1 0.0000 0.5000 0.0000 1
Bi2 0.0000 0.0000 0.5000 1
Bi3 0.5000 0.0000 0.0000 1
Fe1 0.0000 0.0000 0.0000 1
# Formation energy without anion corrections (eV per atom): 0.41
# Energy (eV/f.u.): -22.16
# DOS(E_F) (states/eV/cell): 2.7
# Crystal system: cubic
# Energy above the lowest structure with this stoichiometry (meV per atom): 0

=====

Entry 7:
# Fe2SiBiSb PBE-GGA optimized geometry
data_Fe2SiBiSb
_cell_length_a 4.7097
_cell_length_b 5.1662
_cell_length_c 4.7097
_cell_angle_alpha 90.00
_cell_angle_beta 90.00
_cell_angle_gamma 90.00
_space_group_name_H-M_alt 'P 1'
_space_group_IT_number 1
loop_
_space_group_symop_operation_xyz
'x,y,z'
loop_
_atom_site_label
_atom_site_fract_x
_atom_site_fract_y
_atom_site_fract_z
_atom_site_occupancy
Fe1 0.5000 0.0000 0.0000 1
Fe2 0.0000 0.0000 0.5000 1
Sb1 0.0000 0.0000 0.0000 1
Si1 0.0000 0.5000 0.0000 1
Bi1 0.5000 0.5000 0.5000 1
# Formation energy without anion corrections (eV per atom): 1.40
# Energy (eV/f.u.): -23.34
# DOS(E_F) (states/eV/cell): 7.8
# Crystal system: tetragonal

=====

Entry 8:
# FeSi2BiSb PBE-GGA optimized geometry
data_FeSi2BiSb
_cell_length_a 5.2409
_cell_length_b 4.8268
_cell_length_c 5.2409
_cell_angle_alpha 90.00
_cell_angle_beta 90.00
_cell_angle_gamma 90.00
_space_group_name_H-M_alt 'P 1'
_space_group_IT_number 1
loop_
_space_group_symop_operation_xyz
'x,y,z'
loop_
_atom_site_label
_atom_site_fract_x
_atom_site_fract_y
_atom_site_fract_z
_atom_site_occupancy
Bi1 0.5000 0.5000 0.5000 1
Fe1 0.0000 0.5000 0.0000 1
Sb1 0.0000 0.0000 0.0000 1
Si1 0.0000 0.0000 0.5000 1
Si2 0.5000 0.0000 0.0000 1
# Formation energy without anion corrections (eV per atom): 1.16
# Energy (eV/f.u.): -21.51
# DOS(E_F) (states/eV/cell): 7.2
# Crystal system: tetragonal

=====

Copy entry 4 word for word.
# FeBiSb2 PBE-GGA optimized geometry
data_FeBiSb2
_cell_length_a 6.3251
_cell_length_b 6.3251
_cell_length_c 7.8609
_cell_angle_alpha 66.28
_cell_angle_beta 66.28
_cell_angle_gamma 90.00
_space_group_name_H-M_alt 'P 1'
_space_group_IT_number 1
loop_
_space_group_symop_operation_xyz
'x,y,z'
loop_
_atom_site_label
_atom_site_fract_x
_atom_site_fract_y
_atom_site_fract_z
_atom_site_occupancy
Sb1 0.3750 0.4473 0.7500 1
Sb2 0.1973 0.6250 0.2500 1
Sb3 0.5527 0.1250 0.2500 1
Sb4 0.8750 0.8027 0.7500 1
Fe1 0.2500 0.7500 0.5000 1
Fe2 0.5000 0.5000 0.0000 1
Bi1 0.0000 0.0000 0.0000 1
Bi2 0.7500 0.2500 0.5000 1
# Formation energy without anion corrections (eV per atom): 0.33
# Energy (eV/f.u.): -19.26
# DOS(E_F) (states/eV/cell): 8.0
# Crystal system: tetragonal

=====

Which value of energy does entry 6 give?
-22.16 eV/f.u.

=====

Which formula does entry 4 have?
FeBiSb2